DFT (PBE) results for a relaxed structure of Ce2DyGe2.

a = 4.039 Å, b = 7.955 Å, c = 7.955 Å
α = 90.00°, β = 90.00°, γ = 90.00°
Last column: magnetic moment on the atom in μB.
Sites, in units of the cell vectors:
Dy1 0.000 0.000 0.000  0.04
Dy2 0.000 0.500 0.500  0.04
Ge1 0.000 0.667 0.167  -0.02
Ge2 0.000 0.167 0.333  -0.02
Ge3 0.000 0.833 0.667  -0.02
Ge4 0.000 0.333 0.833  -0.02
Ce1 0.500 0.128 0.628  0.55
Ce2 0.500 0.372 0.128  0.55
Ce3 0.500 0.872 0.372  0.55
Ce4 0.500 0.628 0.872  0.55

SG   No. 127
DFT formation energy   -0.722 eV/atom
Theoretical density   7.6 Mg/m³
Energy above the most stable polymorph in this dataset   0 meV/atom

DFT (PBE) results for a relaxed structure of CeDy2Ge.

a = 4.481 Å, b = 4.723 Å, c = 4.723 Å
α = 90.00°, β = 90.00°, γ = 90.00°
Sites, in units of the cell vectors:
Ce1 0.500 0.000 0.000
Ge1 0.500 0.500 0.500
Dy1 0.000 0.500 0.000
Dy2 0.000 0.000 0.500

SG   No. 123
DFT formation energy   -0.329 eV/atom
Theoretical density   8.9 Mg/m³
Energy above the most stable polymorph in this dataset   0 meV/atom

DFT (PBE) results for a relaxed structure of Ce2DyGe.

a = 3.988 Å, b = 3.988 Å, c = 6.832 Å
α = 90.00°, β = 90.00°, γ = 90.00°
Last column: magnetic moment on the atom in μB.
Sites, in units of the cell vectors:
Ce1 0.000 0.000 0.303  0.58
Ce2 0.000 0.000 0.697  0.58
Ge1 0.500 0.500 0.500  -0.02
Dy1 0.500 0.500 0.000  0.12

SG   No. 123
DFT formation energy   -0.326 eV/atom
Theoretical density   7.9 Mg/m³
Energy above the most stable polymorph in this dataset   138 meV/atom

DFT (PBE) results for a relaxed structure of CeDyGe2.

a = 4.402 Å, b = 4.402 Å, c = 6.869 Å
α = 71.31°, β = 71.31°, γ = 60.00°
Last column: magnetic moment on the atom in μB.
Sites, in units of the cell vectors:
Ce1 0.670 0.670 0.991  0.38
Ge1 0.090 0.090 0.731  0.00
Ge2 0.245 0.245 0.264  0.00
Dy1 0.495 0.495 0.514  0.01

SG   No. 160
DFT formation energy   -0.570 eV/atom
Theoretical density   6.9 Mg/m³

DFT (PBE) results for a relaxed structure of Ce3DyGe4.

a = 4.084 Å, b = 6.482 Å, c = 8.839 Å
α = 111.51°, β = 103.36°, γ = 90.00°
Last column: magnetic moment on the atom in μB.
Sites, in units of the cell vectors:
Ce1 0.196 0.196 0.392  0.49
Ce2 0.804 0.804 0.608  0.49
Ce3 0.000 0.500 0.000  0.40
Ge1 0.370 0.175 0.740  -0.01
Ge2 0.370 0.564 0.740  -0.01
Ge3 0.630 0.436 0.260  -0.01
Ge4 0.630 0.825 0.260  -0.01
Dy1 0.500 0.000 0.000  0.05

SG   No. 71
DFT formation energy   -0.618 eV/atom
Theoretical density   6.9 Mg/m³

DFT (PBE) results for a relaxed structure of Ce2Dy5Ge4.

a = 3.448 Å, b = 6.941 Å, c = 12.840 Å
α = 90.07°, β = 97.72°, γ = 90.00°
Last column: magnetic moment on the atom in μB.
Sites, in units of the cell vectors:
Ge1 0.025 0.661 0.050  0.00
Ge2 0.674 0.512 0.348  -0.01
Ge3 0.326 0.488 0.652  -0.01
Ge4 0.975 0.339 0.950  0.00
Dy1 0.092 0.313 0.184  0.03
Dy2 0.500 0.000 0.000  0.00
Dy3 0.132 0.816 0.264  0.07
Dy4 0.868 0.184 0.736  0.07
Dy5 0.908 0.687 0.816  0.03
Ce1 0.769 0.772 0.537  0.97
Ce2 0.231 0.228 0.463  0.97

SG   No. 12
DFT formation energy   -0.301 eV/atom
Theoretical density   7.5 Mg/m³

DFT (PBE) results for a relaxed structure of CeDyGe2.

a = 4.230 Å, b = 4.230 Å, c = 7.159 Å
α = 72.82°, β = 72.82°, γ = 60.00°
Sites, in units of the cell vectors:
Ge1 0.750 0.750 0.749
Ge2 0.250 0.250 0.251
Ce1 0.500 0.500 0.500
Dy1 0.000 0.000 0.000

SG   No. 166
DFT formation energy   -0.655 eV/atom
Theoretical density   7.1 Mg/m³

DFT (PBE) results for a relaxed structure of Ce2DyGe.

a = 3.763 Å, b = 3.763 Å, c = 9.877 Å
α = 79.02°, β = 79.02°, γ = 60.00°
Last column: magnetic moment on the atom in μB.
Sites, in units of the cell vectors:
Ce1 0.734 0.734 0.797  0.21
Ce2 0.266 0.266 0.203  0.21
Dy1 0.500 0.500 0.500  0.04
Ge1 0.000 0.000 0.000  -0.01

SG   No. 166
DFT formation energy   -0.100 eV/atom
Theoretical density   7.2 Mg/m³
Energy above the most stable polymorph in this dataset   364 meV/atom

Copy entry 1 word for word.
DFT (PBE) results for a relaxed structure of Ce2DyGe2.

a = 4.039 Å, b = 7.955 Å, c = 7.955 Å
α = 90.00°, β = 90.00°, γ = 90.00°
Last column: magnetic moment on the atom in μB.
Sites, in units of the cell vectors:
Dy1 0.000 0.000 0.000  0.04
Dy2 0.000 0.500 0.500  0.04
Ge1 0.000 0.667 0.167  -0.02
Ge2 0.000 0.167 0.333  -0.02
Ge3 0.000 0.833 0.667  -0.02
Ge4 0.000 0.333 0.833  -0.02
Ce1 0.500 0.128 0.628  0.55
Ce2 0.500 0.372 0.128  0.55
Ce3 0.500 0.872 0.372  0.55
Ce4 0.500 0.628 0.872  0.55

SG   No. 127
DFT formation energy   -0.722 eV/atom
Theoretical density   7.6 Mg/m³
Energy above the most stable polymorph in this dataset   0 meV/atom